Model w:
Here is a relaxed PtI2Br crystal from Alexandria via LeMat-Bulk. Energies are from PBE.

density = 7.1 g/cm3

Lattice parameters (Å, degrees): 3.9720 7.9749 8.5621 65.77 90.00 90.00
Last column: nearest neighbours and their distance in Å.
Atoms (fractional coordinates):
I  0.9225  0.4701  0.8086  3 Pt 2.67-2.90
I  0.4225  0.5299  0.1914  3 Pt 2.67-2.90
I  0.4225  0.9341  0.8027  2 Pt 2.68
I  0.9225  0.0659  0.1973  2 Pt 2.68
Pt  0.9225  0.7137  0.9833  5 I 2.67-2.90
Pt  0.4225  0.2863  0.0167  5 I 2.67-2.90
Br  0.4225  0.7414  0.4495  5 I 3.27-3.55
Br  0.9225  0.2586  0.5505  5 I 3.27-3.55

=====

Model x:
Here is a relaxed PtI2Br crystal from Alexandria via LeMat-Bulk. Energies are from PBE.

density = 7.0 g/cm3

Lattice parameters (Å, degrees): 8.2197 8.2197 6.8844 53.35 53.35 90.00
Last column: nearest neighbours and their distance in Å.
Atoms (fractional coordinates):
I  0.8750  0.9586  0.7500  2 Pt 2.64
I  0.3750  0.2914  0.7500  2 Pt 2.64
I  0.0414  0.6250  0.2500  2 Pt 2.64
I  0.7086  0.1250  0.2500  2 Pt 2.64
Pt  0.0000  0.0000  0.0000  4 I 2.64
Pt  0.7500  0.2500  0.5000  4 I 2.64
Br  0.5000  0.5000  0.0000  8 I 3.55-3.71, 2 Pt 3.69
Br  0.2500  0.7500  0.5000  8 I 3.55-3.71, 2 Pt 3.69

=====

Relative energies, in meV/atom, with the most stable structure set to zero: model w 0; model x 204.

=====

Model w:
Here is a relaxed TePtI2Br crystal from Alexandria via LeMat-Bulk. Energies are from PBE.

density = 5.9 g/cm3

Lattice parameters (Å, degrees): 5.7601 5.7601 5.5898 90.00 90.00 90.00
Last column: nearest neighbours and their distance in Å.
Atoms (fractional coordinates):
I  0.0000  0.5000  0.0000  2 Br 2.88
I  0.5000  0.0000  0.0000  2 Br 2.88
Pt  0.5000  0.5000  0.5000  8 I 4.01, 4 Te 4.07
Te  0.0000  0.0000  0.5000  2 Br 2.79
Br  0.0000  0.0000  0.0000  2 Te 2.79, 4 I 2.88

=====

Model x:
Here is a relaxed TePtI2Br crystal from Alexandria via LeMat-Bulk. Energies are from PBE.

density = 6.7 g/cm3

Lattice parameters (Å, degrees): 5.5523 5.5523 5.2430 90.00 90.00 90.00
Last column: nearest neighbours and their distance in Å.
Atoms (fractional coordinates):
I  0.0000  0.5000  0.0000  2 Pt 2.78
I  0.5000  0.0000  0.0000  2 Pt 2.78
Pt  0.0000  0.0000  0.0000  2 Te 2.62, 4 I 2.78
Te  0.0000  0.0000  0.5000  2 Pt 2.62
Br  0.5000  0.5000  0.5000  8 I 3.82, 4 Te 3.93

=====

Relative energies, in meV/atom, with the most stable structure set to zero: model w 1008; model x 0.

=====

Model w:
Here is a relaxed PuIBr crystal from Alexandria via LeMat-Bulk. Energies are from PBE.

density = 7.7 g/cm3

Lattice parameters (Å, degrees): 7.3356 7.0857 7.4543 90.00 90.00 90.00
Last column: nearest neighbours and their distance in Å.
Atoms (fractional coordinates):
Pu  0.4454  0.7500  0.2500  4 Br 3.09-3.33, 4 I 3.27-3.31
Pu  0.4454  0.2500  0.2500  4 Br 3.09-3.33, 4 I 3.27-3.31
Pu  0.9454  0.7500  0.7500  4 Br 3.09-3.33, 4 I 3.27-3.31
Pu  0.9454  0.2500  0.7500  4 Br 3.09-3.33, 4 I 3.27-3.31
I  0.6038  0.0000  0.9150  4 Pu 3.27-3.31
I  0.6038  0.5000  0.5850  4 Pu 3.27-3.31
I  0.1038  0.5000  0.4150  4 Pu 3.27-3.31
I  0.1038  0.0000  0.0850  4 Pu 3.27-3.31
Br  0.2372  0.0000  0.5671  4 Pu 3.09-3.33
Br  0.7372  0.0000  0.4329  4 Pu 3.09-3.33
Br  0.2372  0.5000  0.9329  4 Pu 3.09-3.33
Br  0.7372  0.5000  0.0671  4 Pu 3.09-3.33

=====

Model x:
Here is a relaxed PuIBr crystal from Alexandria via LeMat-Bulk. Energies are from PBE.

density = 6.5 g/cm3

Lattice parameters (Å, degrees): 7.3825 4.2518 4.2518 120.00 90.00 90.00
Last column: nearest neighbours and their distance in Å.
Atoms (fractional coordinates):
Br  0.2412  0.3333  0.6667  3 Pu 2.97
I  0.7445  0.6667  0.3333  3 Pu 3.16
Pu  0.0143  0.0000  0.0000  3 Br 2.97, 3 I 3.16

=====

Relative energies, in meV/atom, with the most stable structure set to zero: model w 114; model x 0.